## A
Entry from Alexandria: crystalline Pm2CdPt3 at its relaxed geometry (PBE-GGA).

Magnetization, μB/cell: 0.00

Geometry as CIF:
```
data_Pm2CdPt3
_symmetry_space_group_name_H-M 'P 1'
_symmetry_Int_Tables_number 1
_symmetry_space_group_name_Hall 'P 1'
_cell_length_a 9.645
_cell_length_b 9.430
_cell_length_c 5.636
_cell_angle_alpha 74.92
_cell_angle_beta 70.74
_cell_angle_gamma 34.35
loop_
_atom_site_label
_atom_site_type_symbol
_atom_site_fract_x
_atom_site_fract_y
_atom_site_fract_z
Pm1 Pm 0.248 0.752 0.752
Pm2 Pm 0.250 0.250 0.250
Pm3 Pm 0.750 0.750 0.750
Pm4 Pm 0.752 0.248 0.248
Cd1 Cd 0.160 0.160 0.840
Cd2 Cd 0.840 0.840 0.160
Pt1 Pt 0.189 0.656 0.344
Pt2 Pt 0.317 0.317 0.683
Pt3 Pt 0.344 0.811 0.189
Pt4 Pt 0.656 0.189 0.811
Pt5 Pt 0.683 0.683 0.317
Pt6 Pt 0.811 0.344 0.656
```

## B
Entry from Alexandria: crystalline Pm2CdPt3 at its relaxed geometry (PBE-GGA).

Magnetization, μB/cell: 0.00

Geometry as CIF:
```
data_Pm2CdPt3
_symmetry_space_group_name_H-M 'P 1'
_symmetry_Int_Tables_number 1
_symmetry_space_group_name_Hall 'P 1'
_cell_length_a 7.525
_cell_length_b 3.956
_cell_length_c 17.609
_cell_angle_alpha 90.00
_cell_angle_beta 90.00
_cell_angle_gamma 90.00
loop_
_atom_site_label
_atom_site_type_symbol
_atom_site_fract_x
_atom_site_fract_y
_atom_site_fract_z
Pm1 Pm 0.097 0.250 0.214
Pm2 Pm 0.152 0.250 0.430
Pm3 Pm 0.348 0.750 0.930
Pm4 Pm 0.403 0.750 0.714
Pm5 Pm 0.597 0.250 0.286
Pm6 Pm 0.652 0.250 0.070
Pm7 Pm 0.848 0.750 0.570
Pm8 Pm 0.903 0.750 0.786
Cd1 Cd 0.011 0.750 0.063
Cd2 Cd 0.489 0.250 0.563
Cd3 Cd 0.511 0.750 0.437
Cd4 Cd 0.989 0.250 0.937
Pt1 Pt 0.087 0.250 0.658
Pt2 Pt 0.209 0.250 0.811
Pt3 Pt 0.231 0.750 0.556
Pt4 Pt 0.269 0.250 0.056
Pt5 Pt 0.291 0.750 0.311
Pt6 Pt 0.413 0.750 0.158
Pt7 Pt 0.587 0.250 0.842
Pt8 Pt 0.709 0.250 0.689
Pt9 Pt 0.731 0.750 0.944
Pt10 Pt 0.769 0.250 0.444
Pt11 Pt 0.791 0.750 0.189
Pt12 Pt 0.913 0.750 0.342
```

Which of them is most stable? Easy: B.